Here is a relaxed structure of Y2ZrSn from OQMD via LeMat-Bulk. Energies are from PBE-GGA.

Properties
- Volume: 25.43 A^3/atom
- E_tot: -104.6 eV for the cell shown
- Total magnetic moment: 0.01 μB per formula unit

a b c (Å): 7.4102 7.4102 7.4102
angles (deg): 90.00 90.00 90.00
Closest atoms and distances in Å follow each position.
Space group F-43m (No. 216)
One atom of each set of equivalent atoms:
Y 0.0000 0.0000 0.0000 x4  4 Zr 3.21, 4 Y 3.21
Y 0.2500 0.2500 0.2500 x4  4 Sn 3.21, 4 Y 3.21
Zr 0.2500 0.2500 0.7500 x4  4 Sn 3.21, 4 Y 3.21
Sn 0.0000 0.0000 0.5000 x4  4 Zr 3.21, 4 Y 3.21